Record 1
{"formula": "Na2Sn2Hg5", "functional": "GGA-PBE", "state": "relaxed", "space_group": "Amm2 (38)", "ef_mev_per_atom": -125, "mass_density_kg_m3": 9111, "lattice_angstrom": [[-0.260, -4.440, -2.665], [-0.011, -0.060, 5.185], [-10.077, 0.598, -0.014]], "species": ["Hg", "Hg", "Hg", "Hg", "Hg", "Sn", "Sn", "Na", "Na"], "fractional_positions": [[0.130, 0.870, 0.660], [0.130, 0.870, 0.340], [0.795, 0.205, 0.851], [0.795, 0.205, 0.149], [0.464, 0.536, 0.500], [0.462, 0.538, 0.790], [0.462, 0.538, 0.210], [0.797, 0.203, 0.500], [0.128, 0.872, 0.000]]}

Record 2
{"formula": "NaSn2Hg", "functional": "GGA-PBE", "state": "relaxed", "space_group": "P4/mmm (123)", "ef_mev_per_atom": -37, "mass_density_kg_m3": 7106, "lattice_angstrom": [[-2.397, 1.408, -2.789], [1.702, -2.359, -2.654], [-4.622, -4.978, 1.460]], "species": ["Sn", "Sn", "Na", "Hg"], "fractional_positions": [[0.000, 0.000, 0.220], [0.000, 0.000, 0.780], [0.500, 0.500, 0.500], [0.500, 0.500, 0.000]]}

Record 3
{"formula": "Na2SnHg6", "functional": "GGA-PBE", "state": "relaxed", "space_group": "C2/m (12)", "ef_mev_per_atom": -135, "mass_density_kg_m3": 9851, "lattice_angstrom": [[3.267, 0.261, 0.250], [2.206, 8.939, 2.284], [2.206, 2.674, 8.830]], "species": ["Hg", "Hg", "Hg", "Hg", "Hg", "Hg", "Na", "Na", "Sn"], "fractional_positions": [[0.500, 0.666, 0.334], [0.500, 0.334, 0.666], [0.846, 0.667, 0.999], [0.846, 0.999, 0.667], [0.154, 0.001, 0.333], [0.154, 0.333, 0.001], [0.668, 0.666, 0.666], [0.332, 0.334, 0.334], [0.000, 0.000, 0.000]]}

Record 4
{"formula": "NaSnHg4", "functional": "GGA-PBE", "state": "relaxed", "space_group": "Cm (8)", "ef_mev_per_atom": -45, "mass_density_kg_m3": 9873, "lattice_angstrom": [[-2.614, 2.000, -0.087], [-3.045, -4.125, -3.347], [0.058, -2.240, 8.307]], "species": ["Sn", "Hg", "Hg", "Hg", "Hg", "Na"], "fractional_positions": [[0.803, 0.226, 0.452], [0.285, 0.701, 0.402], [0.460, 0.632, 0.751], [0.624, 0.539, 0.078], [0.460, 0.118, 0.751], [0.116, 0.033, 0.066]]}

Record 5
{"formula": "NaSnHg2", "functional": "GGA-PBE", "state": "relaxed", "space_group": "P4/mmm (123)", "ef_mev_per_atom": -123, "mass_density_kg_m3": 8944, "lattice_angstrom": [[4.176, 0.000, 0.000], [0.000, 4.913, 0.000], [0.000, 0.000, 4.913]], "species": ["Na", "Sn", "Hg", "Hg"], "fractional_positions": [[0.500, 0.500, 0.500], [0.500, 0.000, 0.000], [0.000, 0.000, 0.500], [0.000, 0.500, 0.000]]}

Record 6
{"formula": "Na2Sn3Hg", "functional": "GGA-PBE", "state": "relaxed", "space_group": "Pmm2 (25)", "ef_mev_per_atom": -171, "mass_density_kg_m3": 6324, "lattice_angstrom": [[-0.046, -2.971, -1.196], [4.657, 0.923, -2.473], [4.549, -3.060, 7.425]], "species": ["Sn", "Sn", "Sn", "Na", "Na", "Hg"], "fractional_positions": [[0.500, 0.500, 0.664], [0.500, 0.000, 0.834], [0.500, 0.000, 0.169], [0.000, 0.500, 0.007], [0.000, 0.000, 0.494], [0.500, 0.500, 0.332]]}